Density functional theory data (PBEsol) for an optimized crystal structure of RbBaF2.

Unit cell a=6.4200 b=6.4200 c=12.8978 alpha=90.00 beta=90.00 gamma=90.00
Space group I-42d (No. 122)
Asymmetric unit:
Rb 0.0000 0.0000 0.0000 x4
Ba 0.0000 0.0000 0.5000 x4
F 0.1748 0.2500 0.6250 x8

DOS at the Fermi energy: 0.323 states/eV/atom
V: 33.23 A^3/atom
calculated density: 3.26 g cm⁻³
polymorph energy (0 for the lowest one): 132 meV per atom
energy relative to the elements, uncorrected: -2.63 eV per atom